No. 1
A geometry-optimized Dy2Be4Ge3Rh structure. Source: Alexandria via LeMat-Bulk, functional PBE.

Summary:
DOS at the Fermi energy: 5.405 states/eV/f.u.
final energy: -5.035 eV per atom
M_tot: 0.00 μB per formula unit
mass density: 7.5 g/cm³
formation energy from the elements: -0.504 eV/atom

The structure in extended XYZ format:
```
10
Lattice="3.8821 0.0000 0.0000 0.0000 3.8821 0.0000 0.0000 0.0000 9.9572" Properties=species:S:1:pos:R:3 pbc="T T T"
Dy 0.0000 1.9411 2.4811
Dy 1.9411 0.0000 7.4761
Be 0.0000 0.0000 4.9786
Be 0.0000 1.9411 8.6428
Be 1.9411 0.0000 1.3144
Be 1.9411 1.9411 4.9786
Ge 0.0000 0.0000 0.0000
Ge 0.0000 1.9411 6.3244
Ge 1.9411 0.0000 3.6328
Rh 1.9411 1.9411 0.0000
```

No. 2
A geometry-optimized DyBe2H6 structure. Source: Alexandria via LeMat-Bulk, functional PBE.

Summary:
DOS at the Fermi energy: 1.078 states/eV/f.u.
final energy: -3.715 eV per atom
M_tot: 0.00 μB per formula unit
mass density: 4.3 g/cm³

The structure in extended XYZ format:
```
9
Lattice="4.0216 -1.6366 0.0000 4.0216 1.6366 0.0000 -3.6932 0.0000 5.4561" Properties=species:S:1:pos:R:3 pbc="T T T"
Dy 0.0000 0.0000 0.0000
Be -1.1600 0.0000 3.5533
Be 5.5100 0.0000 1.9028
H -1.0737 0.0000 2.0001
H 1.1244 0.0000 1.8802
H -1.0412 0.0000 5.1088
H 5.3912 0.0000 0.3473
H 3.2255 0.0000 3.5759
H 5.4237 0.0000 3.4560
```

No. 3
A geometry-optimized DyBe2H6 structure. Source: Alexandria via LeMat-Bulk, functional PBE.

Summary:
DOS at the Fermi energy: 3.555 states/eV/f.u.
final energy: -2.677 eV per atom
M_tot: 0.00 μB per formula unit
mass density: 4.0 g/cm³

The structure in extended XYZ format:
```
9
Lattice="0.0000 3.3838 3.3838 3.3838 0.0000 3.3838 3.3838 3.3838 0.0000" Properties=species:S:1:pos:R:3 pbc="T T T"
Dy 0.0000 0.0000 0.0000
Be 1.6919 1.6919 1.6919
Be 5.0757 5.0757 5.0757
H 3.3838 3.3838 2.0316
H 3.3838 2.0316 3.3838
H 4.7360 3.3838 3.3838
H 2.0316 3.3838 3.3838
H 3.3838 4.7360 3.3838
H 3.3838 3.3838 4.7360
```

No. 4
A geometry-optimized DyBeH8Ir2 structure. Source: Alexandria via LeMat-Bulk, functional PBE.

Summary:
DOS at the Fermi energy: 1.829 states/eV/f.u.
final energy: -4.603 eV per atom
M_tot: 0.00 μB per formula unit
mass density: 10.2 g/cm³

The structure in extended XYZ format:
```
12
Lattice="3.8168 -2.0636 0.0000 3.8168 2.0636 0.0000 -2.5136 0.0000 5.8497" Properties=species:S:1:pos:R:3 pbc="T T T"
Dy 0.0000 0.0000 0.0000
Be 2.5600 0.0000 2.9249
H 2.0893 0.9764 1.1005
H 0.8475 0.0000 2.2636
H 3.0307 0.9764 4.7493
H 1.2988 0.0000 4.7718
H 3.8212 0.0000 1.0780
H 2.0893 -0.9764 1.1005
H 4.2725 0.0000 3.5862
H 3.0307 -0.9764 4.7493
Ir -0.0405 0.0000 3.7289
Ir 5.1605 0.0000 2.1209
```

No. 5
A geometry-optimized Dy2BeHPt6 structure. Source: Alexandria via LeMat-Bulk, functional PBE.

Summary:
DOS at the Fermi energy: 3.803 states/eV/f.u.
final energy: -6.114 eV per atom
M_tot: 0.00 μB per formula unit
mass density: 15.7 g/cm³

The structure in extended XYZ format:
```
10
Lattice="5.6851 0.0000 0.0000 2.8394 4.9339 0.0000 2.8019 1.6604 5.6722" Properties=species:S:1:pos:R:3 pbc="T T T"
Dy 2.8330 1.6540 1.8742
Dy 8.4933 4.9403 3.7980
Be 5.6632 3.2972 2.8361
H 0.0000 0.0000 0.0000
Pt 5.6485 4.9171 4.5003
Pt 4.2519 2.4885 4.4946
Pt 4.2707 4.1089 1.1828
Pt 7.0557 2.4854 4.4895
Pt 7.0745 4.1058 1.1777
Pt 5.6778 1.6772 1.1720
```

No. 6
A geometry-optimized DyHfBe17 structure. Source: Alexandria via LeMat-Bulk, functional PBE.

Summary:
DOS at the Fermi energy: 3.644 states/eV/f.u.
final energy: -4.284 eV per atom
M_tot: 0.00 μB per formula unit
mass density: 4.5 g/cm³
formation energy from the elements: -0.184 eV/atom

The structure in extended XYZ format:
```
19
Lattice="3.7960 2.1916 3.6919 -3.7960 2.1916 3.6919 0.0000 -4.3832 3.6919" Properties=species:S:1:pos:R:3 pbc="T T T"
Dy 0.0000 0.0000 0.0000
Hf 0.0000 0.0000 3.5920
Be 0.0000 -2.1846 1.8757
Be -1.8919 1.0923 1.8757
Be -1.8769 -1.0836 5.4573
Be 0.0000 -2.1741 5.3999
Be -1.8829 1.0871 5.3999
Be -1.0671 -1.8717 7.3242
Be -2.1545 0.0117 7.3242
Be 1.8919 1.0923 1.8757
Be 0.0000 0.0000 6.2353
Be 1.8769 -1.0836 5.4573
Be 0.0000 2.1673 5.4573
Be 1.0671 -1.8717 7.3242
Be -1.0874 1.8600 7.3242
Be 0.0000 0.0000 8.3609
Be 1.8828 1.0871 5.3999
Be 2.1545 0.0117 7.3242
Be 1.0874 1.8600 7.3242
```

No. 7
A geometry-optimized DyHfBeN3 structure. Source: Alexandria via LeMat-Bulk, functional PBE.

Summary:
final energy: -8.720 eV per atom
M_tot: 0.00 μB per formula unit
mass density: 9.2 g/cm³

The structure in extended XYZ format:
```
12
Lattice="6.7418 0.0000 0.0000 0.0000 3.1851 0.0000 -1.3948 0.0000 6.6222" Properties=species:S:1:pos:R:3 pbc="T T T"
Dy 1.2172 0.7963 1.2002
Dy 4.1299 2.3889 5.4220
Hf 0.2500 0.7963 4.3660
Hf 5.0971 2.3889 2.2563
Be 1.4401 2.3889 6.0914
Be 3.9070 0.7963 0.5308
N -0.2441 2.3889 5.8133
N 0.5074 2.3889 2.8507
N 2.1331 0.7963 5.4894
N 3.2140 2.3889 1.1328
N 4.8397 0.7963 3.7715
N 5.5912 0.7963 0.8090
```

No. 8
A geometry-optimized DyHoBeHg structure. Source: Alexandria via LeMat-Bulk, functional PBE.

Summary:
DOS at the Fermi energy: 4.001 states/eV/f.u.
final energy: -3.425 eV per atom
M_tot: 0.00 μB per formula unit
mass density: 9.6 g/cm³
formation energy from the elements: -0.123 eV/atom

The structure in extended XYZ format:
```
16
Lattice="7.1865 0.0000 0.0000 0.0000 7.1865 0.0000 0.0000 0.0000 7.1865" Properties=species:S:1:pos:R:3 pbc="T T T"
Dy 0.0000 0.0000 0.0000
Dy 0.0000 3.5933 3.5933
Dy 3.5933 0.0000 3.5933
Dy 3.5933 3.5933 0.0000
Ho 0.0000 0.0000 3.5933
Ho 0.0000 3.5933 0.0000
Ho 3.5933 0.0000 0.0000
Ho 3.5933 3.5933 3.5933
Be 1.7966 1.7966 1.7966
Be 1.7966 5.3899 5.3899
Be 5.3899 1.7966 5.3899
Be 5.3899 5.3899 1.7966
Hg 1.7966 1.7966 5.3899
Hg 1.7966 5.3899 1.7966
Hg 5.3899 1.7966 1.7966
Hg 5.3899 5.3899 5.3899
```

Among the records above, which one has the lowest final energy? DyHfBeN3